Record 1
Crystalline Cr2BTe2 at its relaxed geometry. Source: the Alexandria database, functional PBE.

Summary:
Theoretical density = 5.94 g/cm3
Energy above the lowest structure with this stoichiometry = 0.22 eV/f.u.
E_form (uncorrected) = 0.7021 eV per atom

Cell: 5.3857 5.3857 5.2181 Å, 58.93 58.93 90.00°
Last column: nearest neighbours and their distance in Å.
Positions (direct):
1 Cr 0.2835 0.2835 0.4330  1 B 2.02
2 Cr 0.7165 0.7165 0.5670  1 B 2.02
3 B 0.0000 0.0000 0.0000  2 Cr 2.02
4 Te 0.7500 0.2500 0.5000  4 Cr 2.70
5 Te 0.2500 0.7500 0.5000  4 Cr 2.70

***

Record 2
Crystalline Cr3BTe at its relaxed geometry. Source: the Alexandria database, functional PBE.

Summary:
Theoretical density = 3.67 g/cm3
Energy above the lowest structure with this stoichiometry = 8.24 eV/f.u.
E_form (uncorrected) = 1.9737 eV per atom

Cell: 5.1071 5.1071 5.1071 Å, 90.00 90.00 90.00°
Last column: nearest neighbours and their distance in Å.
Positions (direct):
1 Cr 0.0000 0.5000 0.0000  2 Te 2.55
2 Cr 0.0000 0.0000 0.5000  2 Te 2.55
3 Cr 0.5000 0.0000 0.0000  2 Te 2.55
4 B 0.5000 0.5000 0.5000  12 Cr 3.61
5 Te 0.0000 0.0000 0.0000  6 Cr 2.55

***

Record 3
Crystalline CrB3Te at its relaxed geometry. Source: the Alexandria database, functional PBE.

Summary:
Theoretical density = 4.27 g/cm3
Energy above the lowest structure with this stoichiometry = 6.61 eV/f.u.
E_form (uncorrected) = 2.7697 eV per atom

Cell: 4.3540 4.3540 4.3540 Å, 90.00 90.00 90.00°
Last column: nearest neighbours and their distance in Å.
Positions (direct):
1 Cr 0.5000 0.5000 0.5000  12 B 3.08
2 B 0.0000 0.5000 0.0000  2 Te 2.18
3 B 0.0000 0.0000 0.5000  2 Te 2.18
4 B 0.5000 0.0000 0.0000  2 Te 2.18
5 Te 0.0000 0.0000 0.0000  6 B 2.18

***

Record 4
Crystalline ThCrB at its relaxed geometry. Source: the Alexandria database, functional PBE.

Summary:
E = -7.77 eV per atom
Theoretical density = 9.58 g/cm3

Cell: 5.4546 5.4546 7.0167 Å, 90.00 90.00 101.69°
Last column: nearest neighbours and their distance in Å.
Positions (direct):
1 Cr 0.1055 0.1055 0.3257  3 B 2.04-2.13
2 Cr 0.6055 0.6055 0.1743  3 B 2.04-2.13
3 Cr 0.3945 0.3945 0.8257  3 B 2.04-2.13
4 Cr 0.8945 0.8945 0.6743  3 B 2.04-2.13
5 Th 0.2034 0.7966 0.0000  4 B 2.81-2.94, 4 Cr 2.88-2.95
6 Th 0.7966 0.2034 0.0000  4 B 2.81-2.94, 4 Cr 2.88-2.95
7 Th 0.7034 0.2966 0.5000  4 B 2.81-2.94, 4 Cr 2.88-2.95
8 Th 0.2966 0.7034 0.5000  4 B 2.81-2.94, 4 Cr 2.88-2.95
9 B 0.3050 0.3050 0.1025  3 Cr 2.04-2.13
10 B 0.1950 0.1950 0.6025  3 Cr 2.04-2.13
11 B 0.6950 0.6950 0.8975  3 Cr 2.04-2.13
12 B 0.8050 0.8050 0.3975  3 Cr 2.04-2.13

***

Record 5
Crystalline Th2CrB10 at its relaxed geometry. Source: the Alexandria database, functional PBE.

Summary:
E = -7.54 eV per atom
Theoretical density = 7.64 g/cm3

Cell: 4.1863 5.6989 11.3697 Å, 90.00 90.00 90.00°
Last column: nearest neighbours and their distance in Å.
Positions (direct):
1 Th 0.5000 0.2794 0.8691  20 B 2.89-3.08, 2 Cr 3.02
2 Th 0.5000 0.7206 0.1309  20 B 2.89-3.08, 2 Cr 3.02
3 Th 0.5000 0.7794 0.6309  20 B 2.89-3.08, 2 Cr 3.02
4 Th 0.5000 0.2206 0.3691  20 B 2.89-3.08, 2 Cr 3.02
5 Cr 0.0000 0.5000 0.5000  8 B 2.17-2.19
6 Cr 0.0000 0.0000 0.0000  8 B 2.17-2.19
7 B 0.0000 0.1253 0.5397  4 B 1.69-1.79
8 B 0.0000 0.8747 0.4603  4 B 1.69-1.79
9 B 0.0000 0.6253 0.9603  4 B 1.69-1.79
10 B 0.0000 0.3747 0.0397  4 B 1.69-1.79
11 B 0.0000 0.1374 0.6970  5 B 1.68-1.79
12 B 0.0000 0.8626 0.3030  5 B 1.68-1.79
13 B 0.2981 0.2161 0.1158  4 B 1.69-1.77
14 B 0.2981 0.7839 0.8842  4 B 1.69-1.77
15 B 0.7019 0.7161 0.3842  4 B 1.69-1.77
16 B 0.7019 0.2839 0.6158  4 B 1.69-1.77
17 B 0.7019 0.7839 0.8842  4 B 1.69-1.77
18 B 0.7019 0.2161 0.1158  4 B 1.69-1.77
19 B 0.2981 0.2839 0.6158  4 B 1.69-1.77
20 B 0.2981 0.7161 0.3842  4 B 1.69-1.77
21 B 0.0000 0.0508 0.1893  4 B 1.68-1.78
22 B 0.0000 0.9492 0.8107  4 B 1.68-1.78
23 B 0.0000 0.5508 0.3107  4 B 1.68-1.78
24 B 0.0000 0.4492 0.6893  4 B 1.68-1.78
25 B 0.0000 0.3626 0.1970  5 B 1.68-1.79
26 B 0.0000 0.6374 0.8030  5 B 1.68-1.79

***

Record 6
Crystalline Ti2CrB2 at its relaxed geometry. Source: the Alexandria database, functional PBE.

Summary:
E = -8.42 eV per atom
Theoretical density = 5.26 g/cm3

Cell: 5.8407 5.8407 3.1366 Å, 90.00 90.00 90.00°
Last column: nearest neighbours and their distance in Å.
Positions (direct):
1 Cr 0.0000 0.0000 0.0000  4 B 2.37, 8 Ti 2.65
2 Cr 0.5000 0.5000 0.0000  4 B 2.37, 8 Ti 2.65
3 B 0.3914 0.8914 0.0000  1 B 1.79
4 B 0.8914 0.6086 0.0000  1 B 1.79
5 B 0.6086 0.1086 0.0000  1 B 1.79
6 B 0.1086 0.3914 0.0000  1 B 1.79
7 Ti 0.1832 0.6832 0.5000  6 B 2.33-2.36
8 Ti 0.6832 0.8168 0.5000  6 B 2.33-2.36
9 Ti 0.8168 0.3168 0.5000  6 B 2.33-2.36
10 Ti 0.3168 0.1832 0.5000  6 B 2.33-2.36

***

Record 7
Crystalline Ti2CrB at its relaxed geometry. Source: the Alexandria database, functional PBE.

Summary:
E = -7.72 eV per atom
Theoretical density = 5.05 g/cm3

Cell: 6.8609 6.8609 5.3333 Å, 49.97 49.97 90.00°
Last column: nearest neighbours and their distance in Å.
Positions (direct):
1 Cr 0.0000 0.0000 0.0000  2 B 2.22
2 Cr 0.7500 0.2500 0.5000  2 B 2.22
3 B 0.5000 0.5000 0.0000  2 Cr 2.22, 4 Ti 2.24
4 B 0.2500 0.7500 0.5000  2 Cr 2.22, 4 Ti 2.24
5 Ti 0.5680 0.1250 0.2500  2 B 2.24, 2 Ti 2.35
6 Ti 0.1820 0.6250 0.2500  2 B 2.24, 2 Ti 2.35
7 Ti 0.3750 0.4320 0.7500  2 B 2.24, 2 Ti 2.35
8 Ti 0.8750 0.8180 0.7500  2 B 2.24, 2 Ti 2.35

***

Record 8
Crystalline TiCrB at its relaxed geometry. Source: the Alexandria database, functional PBE.

Summary:
Theoretical density = 4.92 g/cm3
Energy above the lowest structure with this stoichiometry = 1.31 eV/f.u.

Cell: 4.9502 4.9502 6.1018 Å, 90.00 90.00 90.00°
Last column: nearest neighbours and their distance in Å.
Positions (direct):
1 B 0.4702 0.4702 0.0000  3 Cr 1.99-2.02, 3 Ti 2.16-2.19
2 B 0.5298 0.5298 0.5000  3 Cr 1.99-2.02, 3 Ti 2.16-2.19
3 B 0.0298 0.9702 0.2500  3 Cr 1.99-2.02, 3 Ti 2.16-2.19
4 B 0.9702 0.0298 0.7500  3 Cr 1.99-2.02, 3 Ti 2.16-2.19
5 Cr 0.6859 0.3141 0.7500  3 B 1.99-2.02
6 Cr 0.8141 0.8141 0.5000  3 B 1.99-2.02
7 Cr 0.1859 0.1859 0.0000  3 B 1.99-2.02
8 Cr 0.3141 0.6859 0.2500  3 B 1.99-2.02
9 Ti 0.7218 0.2782 0.2500  3 B 2.16-2.19
10 Ti 0.7782 0.7782 0.0000  3 B 2.16-2.19
11 Ti 0.2218 0.2218 0.5000  3 B 2.16-2.19
12 Ti 0.2782 0.7218 0.7500  3 B 2.16-2.19

***

Record 9
Crystalline TiCrB4 at its relaxed geometry. Source: the Alexandria database, functional PBE.

Summary:
Theoretical density = 4.71 g/cm3
Energy above the lowest structure with this stoichiometry = 0.65 eV/f.u.

Cell: 3.1609 5.7573 11.0959 Å, 90.00 90.00 90.00°
Last column: nearest neighbours and their distance in Å.
Positions (direct):
1 Ti 0.0000 0.6304 0.3519  14 B 2.40-2.63
2 Ti 0.0000 0.3696 0.6481  14 B 2.40-2.63
3 Ti 0.0000 0.1304 0.1481  14 B 2.40-2.63
4 Ti 0.0000 0.8696 0.8519  14 B 2.40-2.63
5 Cr 0.0000 0.6334 0.0868  10 B 2.15-2.19
6 Cr 0.0000 0.3666 0.9132  10 B 2.15-2.19
7 Cr 0.0000 0.1334 0.4132  10 B 2.15-2.19
8 Cr 0.0000 0.8666 0.5868  10 B 2.15-2.19
9 B 0.5000 0.7962 0.1877  3 B 1.67-1.81
10 B 0.5000 0.2038 0.8123  3 B 1.67-1.81
11 B 0.5000 0.2962 0.3123  3 B 1.67-1.81
12 B 0.5000 0.7038 0.6877  3 B 1.67-1.81
13 B 0.5000 0.8703 0.0318  3 B 1.65-1.78
14 B 0.5000 0.1297 0.9682  3 B 1.65-1.78
15 B 0.5000 0.3703 0.4682  3 B 1.65-1.78
16 B 0.5000 0.6297 0.5318  3 B 1.65-1.78
17 B 0.5000 0.8817 0.4498  3 B 1.71-1.76
18 B 0.5000 0.1183 0.5502  3 B 1.71-1.76
19 B 0.5000 0.3817 0.0502  3 B 1.71-1.76
20 B 0.5000 0.6183 0.9498  3 B 1.71-1.76
21 B 0.5000 0.9822 0.3030  3 B 1.67-1.81
22 B 0.5000 0.0178 0.6970  3 B 1.67-1.81
23 B 0.5000 0.4822 0.1970  3 B 1.67-1.81
24 B 0.5000 0.5178 0.8030  3 B 1.67-1.81

***

Record 10
Crystalline TiCrB4 at its relaxed geometry. Source: the Alexandria database, functional PBE.

Summary:
Theoretical density = 4.88 g/cm3
Energy above the lowest structure with this stoichiometry = 0.00 eV/f.u.

Cell: 3.0193 3.0193 6.1695 Å, 90.00 90.00 120.00°
Last column: nearest neighbours and their distance in Å.
Positions (direct):
1 Ti 0.0000 0.0000 0.5000  12 B 2.36
2 Cr 0.0000 0.0000 0.0000  12 B 2.29
3 B 0.6667 0.3333 0.7588  3 B 1.74
4 B 0.6667 0.3333 0.2412  3 B 1.74
5 B 0.3333 0.6667 0.7588  3 B 1.74
6 B 0.3333 0.6667 0.2412  3 B 1.74

***

Record 11
Crystalline Ti2CrB6 at its relaxed geometry. Source: the Alexandria database, functional PBE.

Summary:
E = -8.09 eV per atom
Theoretical density = 4.74 g/cm3

Cell: 3.1702 5.2089 5.2089 Å, 120.00 90.00 90.00°
Last column: nearest neighbours and their distance in Å.
Positions (direct):
1 Ti 0.0000 0.3333 0.6667  12 B 2.36
2 Ti 0.0000 0.6667 0.3333  12 B 2.36
3 Cr 0.0000 0.0000 0.0000  12 B 2.34
4 B 0.5000 0.3310 0.3310  3 B 1.72-1.76
5 B 0.5000 0.6690 0.6690  3 B 1.72-1.76
6 B 0.5000 0.0000 0.6690  3 B 1.72-1.76
7 B 0.5000 0.6690 0.0000  3 B 1.72-1.76
8 B 0.5000 0.3310 0.0000  3 B 1.72-1.76
9 B 0.5000 0.0000 0.3310  3 B 1.72-1.76

***

Record 12
Crystalline TiCrB at its relaxed geometry. Source: the Alexandria database, functional PBE.

Summary:
Theoretical density = 5.51 g/cm3
Energy above the lowest structure with this stoichiometry = 1.24 eV/f.u.

Cell: 2.9154 2.9154 4.4355 Å, 109.19 109.19 90.00°
Last column: nearest neighbours and their distance in Å.
Positions (direct):
1 Cr 0.3162 0.3162 0.6323  4 B 2.23, 1 Ti 2.30
2 B 0.9255 0.9255 0.8509  4 Cr 2.23, 1 Ti 2.49
3 Ti 0.6084 0.6084 0.2167  1 Cr 2.30, 5 B 2.49-2.51

***

| no. | volume (Å³ per atom) |
| --- | --- |
| 1 | 20.69 |
| 2 | 26.64 |
| 3 | 16.51 |
| 4 | 17.04 |
| 5 | 10.43 |
| 6 | 10.70 |
| 7 | 13.03 |
| 8 | 12.46 |
| 9 | 8.41 |
| 10 | 8.12 |
| 11 | 8.28 |
| 12 | 11.13 |